The following is a DFT calculation (PBE) of AcAl3Ir after structural relaxation.

## Properties
The magnetic moment is 0.00 Bohr magnetons per cell. For the calculated volume, the calculation gives 21.1 Å³ per atom. The energy of formation is -660.5 meV per atom. The mass density comes out at 7.9 g/cm³.

Unit cell a=8.622 b=4.307 c=11.366 alpha=90.00 beta=90.00 gamma=90.00
Space group Pnma (No. 62)
Asymmetric unit:
Ac 0.183 0.250 0.011 x4
Al 0.050 0.250 0.580 x4
Al 0.124 0.750 0.774 x4
Al 0.139 0.750 0.227 x4
Ir 0.105 0.250 0.355 x4



The following is a DFT calculation (PBE) of Ac3Al6Ir5 after structural relaxation.

## Properties
The magnetic moment is 0.00 Bohr magnetons per cell. For the calculated volume, the calculation gives 20.7 Å³ per atom. The energy of formation is -744.8 meV per atom. The mass density comes out at 10.3 g/cm³.

Unit cell a=4.156 b=12.939 c=10.779 alpha=90.00 beta=90.00 gamma=90.00
Space group Pmmn (No. 59, origin choice 2)
Asymmetric unit:
Ac 0.250 0.088 0.249 x4
Ac 0.250 0.750 0.261 x2
Al 0.250 0.054 0.577 x4
Al 0.250 0.250 0.485 x2
Al 0.250 0.250 0.985 x2
Al 0.250 0.581 0.006 x4
Ir 0.250 0.079 0.856 x4
Ir 0.250 0.639 0.526 x4
Ir 0.250 0.750 0.884 x2



The following is a DFT calculation (PBE) of Ac2Al3Ir after structural relaxation.

## Properties
The magnetic moment is 0.00 Bohr magnetons per cell. For the calculated volume, the calculation gives 22.5 Å³ per atom. The energy of formation is -465.0 meV per atom. The mass density comes out at 8.9 g/cm³.

Unit cell a=5.7548 b=5.7548 c=14.1179 alpha=90.00 beta=90.00 gamma=120.00
Space group R-3m (No. 166, hexagonal axes)
Asymmetric unit:
Ac 0.0000 0.0000 0.1269 x6
Al 0.0000 0.5000 0.0000 x9
Ir 0.0000 0.0000 0.5000 x3



The following is a DFT calculation (PBE) of Ac2Al12Ir7 after structural relaxation.

## Properties
The magnetic moment is 0.00 Bohr magnetons per cell. For the calculated volume, the calculation gives 17.2 Å³ per atom. The energy of formation is -828.6 meV per atom. The mass density comes out at 9.8 g/cm³.

Unit cell a=10.0125 b=10.0125 c=4.1483 alpha=90.00 beta=90.00 gamma=120.00
Space group P-6 (No. 174)
Asymmetric unit:
Ac 0.0000 0.0000 0.0000 x1
Ac 0.3333 0.6667 0.5000 x1
Al 0.0616 0.6766 0.0000 x3
Al 0.1084 0.2774 0.5000 x3
Al 0.4776 0.2207 0.0000 x3
Al 0.5047 0.0497 0.5000 x3
Ir 0.0697 0.4018 0.0000 x3
Ir 0.3177 0.1990 0.5000 x3
Ir 0.6667 0.3333 0.5000 x1



The following is a DFT calculation (PBE) of AcAl2Ir after structural relaxation.

## Properties
The magnetic moment is 0.00 Bohr magnetons per cell. For the calculated volume, the calculation gives 22.9 Å³ per atom. The energy of formation is -680.0 meV per atom. The mass density comes out at 8.6 g/cm³.

Unit cell a=4.2827 b=4.2827 c=17.2843 alpha=90.00 beta=90.00 gamma=120.00
Space group R-3m (No. 166, hexagonal axes)
Asymmetric unit:
Ac 0.0000 0.0000 0.0000 x3
Al 0.0000 0.0000 0.2013 x6
Ir 0.0000 0.0000 0.5000 x3



The following is a DFT calculation (PBE) of Ac3Al2Ir3 after structural relaxation.

## Properties
The magnetic moment is 0.00 Bohr magnetons per cell. For the calculated volume, the calculation gives 24.9 Å³ per atom. The energy of formation is -729.6 meV per atom. The mass density comes out at 10.9 g/cm³.

Unit cell a=7.907 b=14.924 c=6.751 alpha=90.00 beta=90.00 gamma=90.00
Space group Pnma (No. 62)
Asymmetric unit:
Ac 0.015 0.108 0.165 x8
Ac 0.134 0.750 0.372 x4
Al 0.161 0.089 0.630 x8
Ir 0.153 0.549 0.413 x8
Ir 0.219 0.250 0.453 x4